Arrangement 1

Below is TaS2Cl after structural relaxation, with properties calculated at the PBE-GGA level.

```
16
Lattice="-2.2625 5.4254 0.7404 -4.7334 -2.4137 3.2225 5.4648 1.0738 8.8307" Properties=species:S:1:pos:R:3 pbc="T T T"
S -1.0463 2.7068 11.6391
S -1.4966 3.5796 5.6401
S -0.0345 0.5059 7.1536
S -0.4848 1.3787 1.1546
S 1.7078 1.0680 10.1337
S -2.9580 2.5509 8.7144
S 1.4269 1.5346 4.0793
S -3.2389 3.0176 2.6600
Ta -3.4211 4.0850 7.0219
Ta 1.8900 0.0005 5.7718
Ta 2.8092 3.1161 9.4558
Ta -4.3404 0.9694 3.3379
Cl -4.5465 2.1873 5.6334
Cl 0.5523 3.9318 8.4376
Cl 3.0154 1.8983 7.1603
Cl -2.0834 0.1537 4.3561
```

***

Arrangement 2

4
Lattice="1.9755 0.0000 7.9013 -0.9877 1.7108 7.9013 -0.9877 -1.7108 7.9013" Properties=species:S:1:pos:R:3 comment="TaS2Cl | the Alexandria database | PBE-GGA | relaxed" n_ef_per_ev_cell=0.6 pbc="T T T"
S 0.0000 0.0000 2.4501
S 0.0000 0.0000 21.2538
Cl 0.0000 0.0000 0.0000
Ta 0.0000 0.0000 11.8520

***

Arrangement 3

4
Lattice="0.0000 3.1823 3.1823 3.1823 0.0000 3.1823 3.1823 3.1823 0.0000" Properties=species:S:1:pos:R:3 comment="TaS2Cl | the Alexandria database | PBE-GGA | relaxed" n_ef_per_ev_cell=1.9 pbc="T T T"
S 4.7735 4.7735 4.7735
S 1.5912 1.5912 1.5912
Cl 0.0000 0.0000 0.0000
Ta 3.1823 3.1823 3.1823

***

Arrangement 4

4
Lattice="1.9104 0.0000 8.6958 -0.9552 1.6544 8.6958 -0.9552 -1.6544 8.6958" Properties=species:S:1:pos:R:3 comment="TaS2Cl | the Alexandria database | PBE-GGA | relaxed" n_ef_per_ev_cell=4.2 pbc="T T T"
Ta 0.0000 0.0000 0.0000
S 0.0000 0.0000 23.8318
S 0.0000 0.0000 2.2557
Cl 0.0000 0.0000 13.0437

***

Most stable: arrangement 1 (next structure +315 meV per atom)

***

Arrangement 1

4
Lattice="3.2177 -2.1915 2.0516 -0.9621 -2.7211 3.3219 0.3882 -4.3505 -0.5364" Properties=species:S:1:pos:R:3 comment="Ta2SCl | the Alexandria database | PBE-GGA | relaxed" n_ef_per_ev_cell=4.5 pbc="T T T"
S 0.0000 0.0000 0.0000
Ta 0.6609 -2.3158 1.2093
Ta 1.9828 -6.9473 3.6278
Cl 1.3218 -4.6315 2.4186

***

Arrangement 2

8
Lattice="6.9493 0.0000 0.0000 0.0000 6.9493 0.0000 3.4746 3.4746 2.9858" Properties=species:S:1:pos:R:3 comment="Ta2SCl | the Alexandria database | PBE-GGA | relaxed" n_ef_per_ev_cell=5.7 pbc="T T T"
Ta 4.9334 1.7373 0.7465
Ta 2.0159 5.2120 0.7465
Ta 5.2120 5.4905 2.2394
Ta 8.6866 8.4081 2.2394
Cl 6.9493 3.4746 1.4929
Cl 0.0000 0.0000 0.0000
S 3.4746 3.4746 0.0000
S 3.4746 6.9493 1.4929

***

Most stable: arrangement 1 (next structure +103 meV per atom)

***

Arrangement 1

5
Lattice="4.8115 0.0000 0.0000 0.0000 4.8115 0.0000 0.0000 0.0000 4.7688" Properties=species:S:1:pos:R:3 comment="TaTcS2Cl | the Alexandria database | PBE-GGA | relaxed" n_ef_per_ev_cell=3.8 pbc="T T T"
Tc 2.4058 2.4058 2.3844
Ta 0.0000 0.0000 0.0000
Cl 0.0000 0.0000 2.3844
S 0.0000 2.4058 0.0000
S 2.4058 0.0000 0.0000

***

Arrangement 2

5
Lattice="4.5853 0.0000 0.0000 0.0000 4.5853 0.0000 0.0000 0.0000 4.5960" Properties=species:S:1:pos:R:3 comment="TaTcS2Cl | the Alexandria database | PBE-GGA | relaxed" n_ef_per_ev_cell=8.7 pbc="T T T"
S 0.0000 2.2927 0.0000
S 2.2927 0.0000 0.0000
Tc 0.0000 0.0000 0.0000
Ta 2.2927 2.2927 2.2980
Cl 0.0000 0.0000 2.2980

***

Most stable: arrangement 1 (next structure +521 meV per atom)